[1]
First-principles (PBE) data for a relaxed structure of Ba2PdBr, as listed in Alexandria.

```
Ba2PdBr
1.0
2.279 1.316 8.557
-2.279 1.316 8.557
0.000 -2.632 8.557
Ba Pd Br
2 1 1
Direct
0.000 0.000 0.000
0.191 0.191 0.191
0.596 0.596 0.596
0.428 0.428 0.428
```

VASP energy (eV per cell): -15.1
Energy above the lowest structure with this stoichiometry (meV per atom): 18

[2]
First-principles (PBE) data for a relaxed structure of ZnBiAs2, as listed in Alexandria.

```
ZnBiAs2
1.0
-3.044 3.044 6.227
3.044 -3.044 6.227
3.044 3.044 -6.227
Zn Bi As
2 2 4
Direct
0.000 0.000 0.000
0.750 0.250 0.500
0.250 0.750 0.500
0.500 0.500 0.000
0.074 0.625 0.949
0.375 0.324 0.449
0.676 0.125 0.051
0.875 0.926 0.551
```

Energy of formation from the pure elements (kcal/mol of atoms): 0.9
VASP energy (eV per cell): -28.6
Energy above the lowest structure with this stoichiometry (meV per atom): 0

[3]
First-principles (PBE) data for a relaxed structure of CsThAg2Br8, as listed in Alexandria.

```
CsThAg2Br8
1.0
5.907 -4.020 0.000
5.907 4.020 0.000
-3.115 0.000 10.093
Cs Th Ag Br
1 1 2 8
Direct
0.000 0.000 0.000
0.000 0.000 0.500
0.399 0.399 0.692
0.601 0.601 0.308
0.178 0.693 0.293
0.230 0.230 0.463
0.307 0.822 0.707
0.373 0.373 0.930
0.627 0.627 0.070
0.693 0.178 0.293
0.770 0.770 0.537
0.822 0.307 0.707
```

VASP energy (eV per cell): -40.6

[4]
First-principles (PBE) data for a relaxed structure of BaTc2SbN2, as listed in Alexandria.

```
BaTc2SbN2
1.0
6.772 0.000 0.000
0.000 5.329 0.000
-2.897 0.000 7.425
Ba Tc Sb N
2 4 2 4
Direct
0.193 0.250 0.360
0.807 0.750 0.640
0.369 0.501 0.811
0.369 0.999 0.811
0.631 0.001 0.189
0.631 0.499 0.189
0.255 0.750 0.059
0.745 0.250 0.941
0.158 0.250 0.710
0.416 0.750 0.657
0.584 0.250 0.343
0.842 0.750 0.290
```

VASP energy (eV per cell): -90.5

[5]
First-principles (PBE) data for a relaxed structure of Cr2HgAs2, as listed in Alexandria.

```
Cr2HgAs2
1.0
-1.918 1.918 5.918
1.918 -1.918 5.918
1.918 1.918 -5.918
Cr Hg As
2 1 2
Direct
0.110 0.110 0.000
0.890 0.890 0.000
0.500 0.500 0.000
0.250 0.750 0.500
0.750 0.250 0.500
```

Energy of formation from the pure elements (kcal/mol of atoms): 6.9
VASP energy (eV per cell): -27.3
Energy above the lowest structure with this stoichiometry (meV per atom): 196

[6]
First-principles (PBE) data for a relaxed structure of Ce2Ga4Ir3Ru, as listed in Alexandria.

```
Ce2Ga4Ir3Ru
1.0
4.325 0.000 0.000
0.000 4.325 0.000
0.000 0.000 10.013
Ce Ga Ir Ru
2 4 3 1
Direct
0.000 0.500 0.232
0.500 0.000 0.768
0.000 0.000 0.500
0.000 0.500 0.875
0.500 0.000 0.125
0.500 0.500 0.500
0.000 0.000 0.000
0.000 0.500 0.631
0.500 0.000 0.369
0.500 0.500 0.000
```

Energy of formation from the pure elements (kcal/mol of atoms): -14.6
VASP energy (eV per cell): -66.2

[7]
First-principles (PBE) data for a relaxed structure of Ca3Tl3ZnO8, as listed in Alexandria.

```
Ca3Tl3ZnO8
1.0
3.402 1.964 5.527
-3.402 1.964 5.527
0.000 -3.929 5.527
Ca Tl Zn O
3 3 1 8
Direct
0.000 0.500 0.500
0.500 0.000 0.500
0.500 0.500 0.000
0.000 0.000 0.500
0.000 0.500 0.000
0.500 0.000 0.000
0.500 0.500 0.500
0.256 0.256 0.256
0.267 0.728 0.728
0.272 0.272 0.733
0.272 0.733 0.272
0.728 0.267 0.728
0.728 0.728 0.267
0.733 0.272 0.272
0.744 0.744 0.744
```

VASP energy (eV per cell): -77.8

[8]
First-principles (PBE) data for a relaxed structure of MnTeI2N, as listed in Alexandria.

```
MnTeI2N
1.0
6.271 0.000 0.000
0.000 6.271 0.000
0.000 0.000 4.000
Mn Te I N
1 1 2 1
Direct
0.000 0.000 0.000
0.500 0.500 0.500
0.000 0.500 0.500
0.500 0.000 0.500
0.500 0.500 0.000
```

VASP energy (eV per cell): -19.1
Energy above the lowest structure with this stoichiometry (meV per atom): 448

[9]
First-principles (PBE) data for a relaxed structure of Ce3SbO, as listed in Alexandria.

```
Ce3SbO
1.0
4.312 0.000 0.000
-1.197 6.867 0.000
-0.885 -1.559 8.911
Ce Sb O
6 2 2
Direct
0.097 0.481 0.171
0.277 0.789 0.630
0.290 0.196 0.990
0.710 0.804 0.010
0.723 0.211 0.370
0.903 0.519 0.829
0.285 0.266 0.631
0.715 0.734 0.369
0.219 0.866 0.893
0.781 0.134 0.107
```

VASP energy (eV per cell): -66.5
Energy above the lowest structure with this stoichiometry (meV per atom): 278

[10]
First-principles (PBE) data for a relaxed structure of La2Cd2Ag, as listed in Alexandria.

```
La2Cd2Ag
1.0
-1.946 3.517 5.157
1.946 -3.517 5.157
1.946 3.517 -5.157
La Cd Ag
2 2 1
Direct
0.232 0.232 0.000
0.768 0.768 0.000
0.207 0.500 0.707
0.793 0.500 0.293
0.500 0.000 0.500
```

Energy of formation from the pure elements (kcal/mol of atoms): -5.2
VASP energy (eV per cell): -15.7
Energy above the lowest structure with this stoichiometry (meV per atom): 59

[11]
First-principles (PBE) data for a relaxed structure of YTiSbTe2, as listed in Alexandria.

```
YTiSbTe2
1.0
5.746 0.000 0.000
0.000 5.746 0.000
0.000 0.000 5.741
Y Ti Sb Te
1 1 1 2
Direct
0.000 0.000 0.000
0.500 0.500 0.500
0.000 0.000 0.500
0.000 0.500 0.000
0.500 0.000 0.000
```

VASP energy (eV per cell): -22.5
Energy above the lowest structure with this stoichiometry (meV per atom): 740

[12]
First-principles (PBE) data for a relaxed structure of AlHgOs2, as listed in Alexandria.

```
AlHgOs2
1.0
0.000 3.151 3.151
3.151 0.000 3.151
3.151 3.151 0.000
Al Hg Os
1 1 2
Direct
0.000 0.000 0.000
0.500 0.500 0.500
0.250 0.250 0.250
0.750 0.750 0.750
```

Energy of formation from the pure elements (kcal/mol of atoms): 13.9
VASP energy (eV per cell): -24.1
Energy above the lowest structure with this stoichiometry (meV per atom): 401